Computed, not measured: TaIn2Cl after structural relaxation at the PBE level of DFT.

Geometry as CIF:
```
data_TaIn2Cl
_chemical_formula_sum 'Ta2 In4 Cl2'
_cell_length_a 3.0588
_cell_length_b 5.3688
_cell_length_c 10.7916
_cell_angle_alpha 90.00
_cell_angle_beta 90.00
_cell_angle_gamma 90.00
_symmetry_space_group_name_H-M 'I m m 2'
_symmetry_Int_Tables_number 44
loop_
_symmetry_equiv_pos_as_xyz
'x,y,z'
'-x,-y,z'
'-x,y,z'
'x,-y,z'
'x+1/2,y+1/2,z+1/2'
'-x+1/2,-y+1/2,z+1/2'
'-x+1/2,y+1/2,z+1/2'
'x+1/2,-y+1/2,z+1/2'
loop_
_atom_site_label
_atom_site_type_symbol
_atom_site_fract_x
_atom_site_fract_y
_atom_site_fract_z
Ta1 Ta 0.0000 0.0000 0.0000
In1 In 0.0000 0.0000 0.4804
In2 In 0.0000 0.5000 0.2618
Cl1 Cl 0.0000 0.5000 0.6822
```

Summary:
Formation energy (no corrections)   -11 meV/atom
Crystal system   orthorhombic
Calculated total energy   -4.805 eV/atom
DOS(E_F)   0.44 states/eV/atom